Below is a relaxed Zn2WF8 crystal, with properties calculated at the PBE with a Hubbard U level.

Lattice parameters (Å, degrees): 4.030 6.453 6.586 60.69 89.38 90.00
Fractional positions:
1 Zn 0.247 0.331 0.337
2 Zn 0.753 0.669 0.663
3 W 0.000 0.000 0.000
4 F 0.244 0.156 0.686
5 F 0.253 0.152 0.154
6 F 0.253 0.694 0.155
7 F 0.254 0.665 0.670
8 F 0.746 0.335 0.330
9 F 0.747 0.306 0.845
10 F 0.747 0.848 0.846
11 F 0.756 0.844 0.314

Computed properties:
M_tot = 0.182 μB/atom
Density = 5189 kg/m3
Calculated total energy = -0.34039 Ry per atom
Crystal system = triclinic